A relaxed structure of Tl2CdSb, computed with GGA-PBE.

It has space group R-3m (No. 166, hexagonal axes), with a = 3.4638 Å, b = 3.4638 Å, c = 33.5537 Å, α = 90.00°, β = 90.00° and γ = 120.00°. The distinct sites, in fractional coordinates, are Tl at (0.0000, 0.0000, 0.2502), Cd at (0.0000, 0.0000, 0.5000) and Sb at (0.0000, 0.0000, 0.0000).

The energy above the lowest structure with this stoichiometry comes out at 74.7 meV per atom. As for the uncorrected formation energy: 8 kJ/mol of atoms. Its magnetic moment is 0.00 μB/atom. The volume is 349 Å³/cell. The value obtained for the final energy is -28.34 eV for the cell shown.